Entry from Alexandria: crystalline YBeTc2 at its relaxed geometry (PBE-GGA).

Unit cell a=4.991 b=5.324 c=2.847 alpha=77.50 beta=83.75 gamma=116.08
Element x y z (fractional)
1 Y 0.000 0.500 0.500
2 Be 0.500 0.500 0.000
3 Tc 0.000 0.000 0.000
4 Tc 0.500 0.000 0.500

Calculated values
energy of formation from the pure elements	407	meV/atom
crystal system	monoclinic
size of the total moment	0.00	Bohr magnetons per cell
SG	C2/m, No. 12